[1]
Density functional theory data (PBE) for crystalline TcAsOs2 at its relaxed geometry.

As for the total energy: -8.700 eV/atom.

abc: 2.836 4.827 8.851
angles: 90.00 90.00 90.00
Element x y z (fractional)
Tc 0.000 0.000 0.000
Tc 0.500 0.500 0.000
As 0.000 0.500 0.750
As 0.500 0.000 0.750
Os 0.000 0.000 0.506
Os 0.000 0.500 0.250
Os 0.500 0.000 0.250
Os 0.500 0.500 0.506

[2]
Density functional theory data (PBE) for crystalline TcAsOs2 at its relaxed geometry.

As for the total energy: -8.941 eV/atom.

abc: 2.902 4.498 4.522
angles: 90.00 90.00 90.00
Element x y z (fractional)
Tc 0.000 0.000 0.000
As 0.500 0.000 0.500
Os 0.000 0.500 0.500
Os 0.500 0.500 0.000

[3]
Density functional theory data (PBE) for crystalline Tc2As6Os at its relaxed geometry.

As for the total energy: -6.760 eV/atom.

abc: 5.482 5.602 10.200
angles: 90.00 90.00 90.00
Element x y z (fractional)
Tc 0.000 0.000 0.136
Tc 0.000 0.000 0.864
Tc 0.500 0.500 0.364
Tc 0.500 0.500 0.636
As 0.158 0.303 0.500
As 0.203 0.823 0.334
As 0.203 0.823 0.666
As 0.297 0.323 0.166
As 0.297 0.323 0.834
As 0.342 0.803 0.000
As 0.658 0.197 0.000
As 0.703 0.677 0.166
As 0.703 0.677 0.834
As 0.797 0.177 0.334
As 0.797 0.177 0.666
As 0.842 0.697 0.500
Os 0.000 0.500 0.000
Os 0.500 0.000 0.500

[4]
Density functional theory data (PBE) for crystalline TcAsOs at its relaxed geometry.

As for the total energy: -8.645 eV/atom.

abc: 4.558 2.899 6.921
angles: 90.00 95.86 90.00
Element x y z (fractional)
Tc 0.000 0.000 0.000
Tc 0.044 0.500 0.335
As 0.104 0.000 0.635
As 0.635 0.500 0.794
Os 0.510 0.500 0.127
Os 0.571 0.000 0.455

[5]
Density functional theory data (PBE) for crystalline TcAsOs at its relaxed geometry.

As for the total energy: -8.532 eV/atom.

abc: 4.228 4.228 2.858
angles: 90.00 90.00 120.00
Element x y z (fractional)
Tc 0.000 0.000 0.000
As 0.333 0.667 0.311
Os 0.667 0.333 0.499

[6]
Density functional theory data (PBE) for crystalline TlTcAsOs2 at its relaxed geometry.

As for the total energy: -6.114 eV/atom.

abc: 4.532 4.532 5.195
angles: 90.00 90.00 90.00
Element x y z (fractional)
Tl 0.000 0.000 0.000
Tc 0.500 0.500 0.000
As 0.000 0.000 0.500
Os 0.000 0.500 0.500
Os 0.500 0.000 0.500

[7]
Density functional theory data (PBE) for crystalline TeAsOs2 at its relaxed geometry.

As for the formation energy from raw total energies: 4.04 eV/f.u.

abc: 3.001 5.060 9.078
angles: 90.00 90.00 90.00
Element x y z (fractional)
Te 0.000 0.000 0.000
Te 0.500 0.500 0.500
As 0.000 0.000 0.500
As 0.500 0.500 0.000
Os 0.000 0.500 0.223
Os 0.000 0.500 0.777
Os 0.500 0.000 0.277
Os 0.500 0.000 0.723

[8]
Density functional theory data (PBE) for crystalline TeAs2Os at its relaxed geometry.

As for the formation energy from raw total energies: 1.34 eV/f.u.

abc: 5.234 6.878 4.447
angles: 90.00 90.00 90.00
Element x y z (fractional)
Te 0.000 0.000 0.000
Te 0.500 0.500 0.000
As 0.000 0.308 0.500
As 0.000 0.692 0.500
As 0.500 0.192 0.500
As 0.500 0.808 0.500
Os 0.000 0.500 0.000
Os 0.500 0.000 0.000

- Number 3 is which compound?
  Tc2As6Os

- Which formula does entry 3 have?
  Tc2As6Os